(1)
Computed, not measured: Cd3Ag at its PBEsol-relaxed geometry at the SCAN level of DFT. Values from VASP.

Output
Crystal system   trigonal
Volume   19.1 A^3/atom
Calculated formation energy   0.021 eV per atom
Raw total energy   -122.53 eV for the cell shown
M_tot   0.00 μB/atom

Cell and atoms, written as Quantum ESPRESSO input:
```
&SYSTEM
  ibrav = 0, nat = 4, ntyp = 2
/
ATOMIC_SPECIES
Ag 107.87 Ag.upf
Cd 112.41 Cd.upf
ATOMIC_POSITIONS angstrom
Ag 0.000 0.000 0.000
Cd -0.661 -2.827 0.128
Cd 0.724 -1.028 2.620
Cd -2.861 -0.325 -0.392
CELL_PARAMETERS angstrom
-1.476 1.473 2.100
-4.246 -2.124 -2.884
2.923 -3.529 3.139
```


(2)
Computed, not measured: K2SiP2 at its PBEsol-relaxed geometry at the SCAN level of DFT. Values from VASP.

Output
Crystal system   orthorhombic
Volume   26.5 A^3/atom
Raw total energy   -101.00 eV for the cell shown
M_tot   0.00 μB/atom
Formation energy without anion corrections   -3.03 eV/f.u.

Cell and atoms, written as Quantum ESPRESSO input:
```
&SYSTEM
  ibrav = 0, nat = 10, ntyp = 3
/
ATOMIC_SPECIES
P 30.97 P.upf
K 39.10 K.upf
Si 28.09 Si.upf
ATOMIC_POSITIONS angstrom
P 1.524 0.150 5.903
P -4.170 -1.678 1.356
P -2.465 1.359 2.831
P -0.181 -2.888 4.428
K -5.681 0.260 3.573
K 3.035 -1.789 3.686
K -1.910 -0.324 5.609
K -0.736 -1.205 1.650
Si -4.026 3.000 2.657
Si -3.540 0.480 1.034
CELL_PARAMETERS angstrom
-0.973 5.039 3.246
-6.593 -1.559 0.444
4.920 -5.008 3.569
```


(3)
Computed, not measured: Tl2Pb3 at its PBEsol-relaxed geometry at the SCAN level of DFT. Values from VASP.

Output
Crystal system   trigonal
Volume   29.0 A^3/atom
Calculated formation energy   -0.003 eV per atom
Raw total energy   -372.07 eV for the cell shown
M_tot   0.00 μB/atom

Cell and atoms, written as Quantum ESPRESSO input:
```
&SYSTEM
  ibrav = 0, nat = 5, ntyp = 2
/
ATOMIC_SPECIES
Pb 207.20 Pb.upf
Tl 204.38 Tl.upf
ATOMIC_POSITIONS angstrom
Pb 0.000 0.000 0.000
Pb -2.411 -2.462 4.882
Pb -4.340 -6.536 6.797
Tl -1.912 -4.069 1.870
Tl -4.839 -4.929 9.809
CELL_PARAMETERS angstrom
-2.270 -2.344 -1.091
0.855 -3.332 -0.046
-5.336 -3.322 12.816
```


- Which of these has the lowest raw total energy?
  Tl2Pb3